(1)
A plane-wave DFT calculation with PBE-GGA was carried out for crystalline In4AgHg2 at its relaxed geometry.

Output
Fermi-level density of states in states/eV/atom: 0.288
Formation energy from the elements in eV/atom: 0.03

```
data_In4AgHg2
_symmetry_space_group_name_H-M 'C 1 c 1'
_symmetry_Int_Tables_number 9
_cell_length_a 8.983
_cell_length_b 12.675
_cell_length_c 7.768
_cell_angle_alpha 90.00
_cell_angle_beta 125.32
_cell_angle_gamma 90.00
loop_
_symmetry_equiv_pos_as_xyz
'x,y,z'
'x,-y,z+1/2'
'x+1/2,y+1/2,z'
'x+1/2,-y+1/2,z+1/2'
loop_
_atom_site_label
_atom_site_type_symbol
_atom_site_fract_x
_atom_site_fract_y
_atom_site_fract_z
In1 In 0.000 0.002 0.000
In2 In 0.104 0.430 0.363
In3 In 0.112 0.253 0.720
In4 In 0.352 0.180 0.356
Ag1 Ag 0.267 0.375 0.110
Hg1 Hg 0.320 0.054 0.968
Hg2 Hg 0.464 0.305 0.752
```

---

(2)
A plane-wave DFT calculation with PBE-GGA was carried out for crystalline InAgHg2 at its relaxed geometry.

Output
Fermi-level density of states in states/eV/atom: 0.247
Formation energy from the elements in eV/atom: 0.07

```
data_InAgHg2
_symmetry_space_group_name_H-M 'P 1 2/m 1'
_symmetry_Int_Tables_number 10
_cell_length_a 3.481
_cell_length_b 5.131
_cell_length_c 5.365
_cell_angle_alpha 90.00
_cell_angle_beta 95.39
_cell_angle_gamma 90.00
loop_
_symmetry_equiv_pos_as_xyz
'x,y,z'
'-x,-y,-z'
'-x,y,-z'
'x,-y,z'
loop_
_atom_site_label
_atom_site_type_symbol
_atom_site_fract_x
_atom_site_fract_y
_atom_site_fract_z
In1 In 0.000 0.000 0.000
Ag1 Ag 0.500 0.000 0.500
Hg1 Hg 0.288 0.500 0.739
```

---

(3)
A plane-wave DFT calculation with PBE-GGA was carried out for crystalline InAg2Hg at its relaxed geometry.

Output
Fermi-level density of states in states/eV/atom: 0.282
Formation energy from the elements in eV/atom: 0.07
E above lowest polymorph in meV per atom: 37

```
data_InAg2Hg
_symmetry_space_group_name_H-M 'P 4 m m'
_symmetry_Int_Tables_number 99
_cell_length_a 3.416
_cell_length_b 3.416
_cell_length_c 7.292
_cell_angle_alpha 90.00
_cell_angle_beta 90.00
_cell_angle_gamma 90.00
loop_
_symmetry_equiv_pos_as_xyz
'x,y,z'
'-y,x,z'
'-x,-y,z'
'y,-x,z'
'-x,y,z'
'y,x,z'
'x,-y,z'
'-y,-x,z'
loop_
_atom_site_label
_atom_site_type_symbol
_atom_site_fract_x
_atom_site_fract_y
_atom_site_fract_z
In1 In 0.000 0.000 0.000
Ag1 Ag 0.000 0.000 0.462
Ag2 Ag 0.500 0.500 0.245
Hg1 Hg 0.500 0.500 0.705
```

---

(4)
A plane-wave DFT calculation with PBE-GGA was carried out for crystalline InAg4Hg2 at its relaxed geometry.

Output
Fermi-level density of states in states/eV/atom: 0.264
Formation energy from the elements in eV/atom: 0.04

```
data_InAg4Hg2
_symmetry_space_group_name_H-M 'P 1'
_symmetry_Int_Tables_number 1
_cell_length_a 6.281
_cell_length_b 6.697
_cell_length_c 8.000
_cell_angle_alpha 103.21
_cell_angle_beta 112.84
_cell_angle_gamma 103.57
loop_
_symmetry_equiv_pos_as_xyz
'x,y,z'
loop_
_atom_site_label
_atom_site_type_symbol
_atom_site_fract_x
_atom_site_fract_y
_atom_site_fract_z
In1 In 0.000 0.000 0.000
In2 In 0.218 0.705 0.571
Ag1 Ag 0.069 0.590 0.857
Ag2 Ag 0.277 0.289 0.411
Ag3 Ag 0.347 0.849 0.283
Ag4 Ag 0.407 0.435 0.128
Ag5 Ag 0.490 0.000 0.994
Ag6 Ag 0.572 0.580 0.857
Ag7 Ag 0.703 0.716 0.571
Ag8 Ag 0.924 0.425 0.129
Hg1 Hg 0.141 0.162 0.709
Hg2 Hg 0.634 0.161 0.707
Hg3 Hg 0.756 0.292 0.402
Hg4 Hg 0.838 0.845 0.281
```

---

(5)
A plane-wave DFT calculation with PBE-GGA was carried out for crystalline In14AgHg at its relaxed geometry.

Output
Fermi-level density of states in states/eV/atom: 0.357
Formation energy from the elements in eV/atom: 0.03

```
data_In14AgHg
_symmetry_space_group_name_H-M 'C m m m'
_symmetry_Int_Tables_number 65
_symmetry_space_group_name_Hall '-C 2 2'
_cell_length_a 9.324
_cell_length_b 10.363
_cell_length_c 8.675
_cell_angle_alpha 90.00
_cell_angle_beta 90.00
_cell_angle_gamma 90.00
loop_
_atom_site_label
_atom_site_type_symbol
_atom_site_fract_x
_atom_site_fract_y
_atom_site_fract_z
In1 In 0.000 0.000 0.000
In2 In 0.000 0.245 0.254
In3 In 0.000 0.500 0.000
In4 In 0.245 0.000 0.264
In5 In 0.250 0.250 0.000
In6 In 0.250 0.250 0.500
Ag1 Ag 0.000 0.000 0.500
Hg1 Hg 0.000 0.500 0.500
```

---

(6)
A plane-wave DFT calculation with PBE-GGA was carried out for crystalline In3Ag3Hg at its relaxed geometry.

Output
Fermi-level density of states in states/eV/atom: 0.733
Formation energy from the elements in eV/atom: 0.38
E above lowest polymorph in meV per atom: 340

```
data_In3Ag3Hg
_symmetry_space_group_name_H-M 'P m -3 n'
_symmetry_Int_Tables_number 223
_symmetry_space_group_name_Hall '-P 4n 2 3'
_cell_length_a 7.799
_cell_length_b 7.799
_cell_length_c 7.799
_cell_angle_alpha 90.00
_cell_angle_beta 90.00
_cell_angle_gamma 90.00
loop_
_atom_site_label
_atom_site_type_symbol
_atom_site_fract_x
_atom_site_fract_y
_atom_site_fract_z
In1 In 0.000 0.250 0.500
Ag1 Ag 0.000 0.500 0.250
Hg1 Hg 0.000 0.000 0.000
```

---

(7)
A plane-wave DFT calculation with PBE-GGA was carried out for crystalline In12Ag2Hg5 at its relaxed geometry.

Output
Fermi-level density of states in states/eV/atom: 0.360
Formation energy from the elements in eV/atom: 0.03

```
data_In12Ag2Hg5
_symmetry_space_group_name_H-M 'C 1 2/m 1'
_symmetry_Int_Tables_number 12
_cell_length_a 13.925
_cell_length_b 9.442
_cell_length_c 7.512
_cell_angle_alpha 90.00
_cell_angle_beta 94.46
_cell_angle_gamma 90.00
loop_
_symmetry_equiv_pos_as_xyz
'x,y,z'
'-x,-y,-z'
'-x,y,-z'
'x,-y,z'
'x+1/2,y+1/2,z'
'-x+1/2,-y+1/2,-z'
'-x+1/2,y+1/2,-z'
'x+1/2,-y+1/2,z'
loop_
_atom_site_label
_atom_site_type_symbol
_atom_site_fract_x
_atom_site_fract_y
_atom_site_fract_z
In1 In 0.045 0.000 0.283
In2 In 0.099 0.500 0.895
In3 In 0.109 0.224 0.650
In4 In 0.165 0.311 0.245
Ag1 Ag 0.000 0.229 0.000
Hg1 Hg 0.000 0.500 0.500
Hg2 Hg 0.180 0.000 0.967
Hg3 Hg 0.247 0.500 0.571
```

---

(8)
A plane-wave DFT calculation with PBE-GGA was carried out for crystalline In6AgHg5 at its relaxed geometry.

Output
Fermi-level density of states in states/eV/atom: 0.352
Formation energy from the elements in eV/atom: 0.02

```
data_In6AgHg5
_symmetry_space_group_name_H-M 'P -1'
_symmetry_Int_Tables_number 2
_cell_length_a 3.660
_cell_length_b 8.520
_cell_length_c 10.054
_cell_angle_alpha 98.20
_cell_angle_beta 91.36
_cell_angle_gamma 96.59
loop_
_symmetry_equiv_pos_as_xyz
'x,y,z'
'-x,-y,-z'
loop_
_atom_site_label
_atom_site_type_symbol
_atom_site_fract_x
_atom_site_fract_y
_atom_site_fract_z
In1 In 0.005 0.498 0.235
In2 In 0.338 0.167 0.590
In3 In 0.356 0.175 0.087
Ag1 Ag 0.500 0.500 0.000
Hg1 Hg 0.151 0.830 0.662
Hg2 Hg 0.165 0.833 0.159
Hg3 Hg 0.500 0.500 0.500
```

---

(9)
A plane-wave DFT calculation with PBE-GGA was carried out for crystalline InAg4Hg at its relaxed geometry.

Output
Fermi-level density of states in states/eV/atom: 0.223
Formation energy from the elements in eV/atom: 0.03
E above lowest polymorph in meV per atom: 0

```
data_InAg4Hg
_symmetry_space_group_name_H-M 'P -1'
_symmetry_Int_Tables_number 2
_cell_length_a 4.913
_cell_length_b 5.320
_cell_length_c 9.752
_cell_angle_alpha 74.51
_cell_angle_beta 75.59
_cell_angle_gamma 89.81
loop_
_symmetry_equiv_pos_as_xyz
'x,y,z'
'-x,-y,-z'
loop_
_atom_site_label
_atom_site_type_symbol
_atom_site_fract_x
_atom_site_fract_y
_atom_site_fract_z
In1 In 0.250 0.188 0.499
Ag1 Ag 0.088 0.032 0.823
Ag2 Ag 0.166 0.589 0.668
Ag3 Ag 0.335 0.759 0.332
Ag4 Ag 0.413 0.357 0.176
Hg1 Hg 0.000 0.500 0.000
Hg2 Hg 0.500 0.000 0.000
```

---

(10)
A plane-wave DFT calculation with PBE-GGA was carried out for crystalline In3AgHg4 at its relaxed geometry.

Output
Fermi-level density of states in states/eV/atom: 0.218
Formation energy from the elements in eV/atom: 0.03

```
data_In3AgHg4
_symmetry_space_group_name_H-M 'P -1'
_symmetry_Int_Tables_number 2
_cell_length_a 3.479
_cell_length_b 3.631
_cell_length_c 15.762
_cell_angle_alpha 89.16
_cell_angle_beta 89.77
_cell_angle_gamma 87.00
loop_
_symmetry_equiv_pos_as_xyz
'x,y,z'
'-x,-y,-z'
loop_
_atom_site_label
_atom_site_type_symbol
_atom_site_fract_x
_atom_site_fract_y
_atom_site_fract_z
In1 In 0.000 0.000 0.000
In2 In 0.000 0.005 0.267
Ag1 Ag 0.000 0.000 0.500
Hg1 Hg 0.495 0.494 0.866
Hg2 Hg 0.499 0.503 0.394
```